Here is an optimized crystal structure of LiMg4Pd3 from Alexandria. Energies are from PBE.

## Properties
* formation energy from the elements: -4.9 eV/f.u.
* spin magnetization: 0.000 μB/atom
* VASP energy: -3.5930 eV/atom

Unit cell a=4.540 b=4.540 c=7.869 alpha=73.23 beta=73.23 gamma=60.00
Fractional coordinates of all 8 atoms:
Mg 0.873 0.873 0.382
Mg 0.377 0.377 0.868
Mg 0.127 0.127 0.618
Mg 0.623 0.623 0.132
Pd 0.252 0.252 0.245
Pd 0.748 0.748 0.755
Pd 0.500 0.500 0.500
Li 0.000 0.000 0.000